# 1
Material: Co3NiPt2
Method: DFT, PBE
State: optimized geometry Values from VASP.

Computed properties:
- magnetic moment (Bohr magnetons per cell) = 29.1
- ΔE to the lowest computed polymorph (eV per atom) = 0.1756
- DOS(E_F) (states/eV per cell) = 34.67
- calculated formation energy (eV/atom) = 0.233

The structure in Quantum ESPRESSO input format:
```
&SYSTEM
  ibrav = 0, nat = 24, ntyp = 3
/
ATOMIC_SPECIES
Co 58.93 Co.upf
Ni 58.69 Ni.upf
Pt 195.08 Pt.upf
ATOMIC_POSITIONS crystal
Co 0.000 0.000 0.000
Co 0.000 0.000 0.500
Co 0.000 0.500 0.000
Co 0.162 0.412 0.323
Co 0.162 0.838 0.750
Co 0.412 0.162 0.823
Co 0.412 0.588 0.250
Co 0.500 0.000 0.500
Co 0.588 0.412 0.750
Co 0.588 0.838 0.177
Co 0.838 0.162 0.250
Co 0.838 0.588 0.677
Ni 0.166 0.416 0.750
Ni 0.416 0.166 0.250
Ni 0.584 0.834 0.750
Ni 0.834 0.584 0.250
Pt 0.164 0.222 0.941
Pt 0.219 0.778 0.441
Pt 0.222 0.164 0.441
Pt 0.222 0.781 0.059
Pt 0.778 0.219 0.941
Pt 0.778 0.836 0.559
Pt 0.781 0.222 0.559
Pt 0.836 0.778 0.059
CELL_PARAMETERS angstrom
-3.953 3.953 5.519
3.953 -3.953 5.519
3.953 3.953 -5.519
```

---

# 2
Material: Co4Ni4Pt
Method: DFT, PBE
State: optimized geometry Values from VASP.

Computed properties:
- magnetic moment (Bohr magnetons per cell) = 9.4
- ΔE to the lowest computed polymorph (eV per atom) = 0.0000
- DOS(E_F) (states/eV per cell) = 9.75
- calculated formation energy (eV/atom) = -0.041

The structure in Quantum ESPRESSO input format:
```
&SYSTEM
  ibrav = 0, nat = 9, ntyp = 3
/
ATOMIC_SPECIES
Co 58.93 Co.upf
Ni 58.69 Ni.upf
Pt 195.08 Pt.upf
ATOMIC_POSITIONS crystal
Co 0.000 0.341 0.341
Co 0.000 0.659 0.659
Co 0.341 0.000 0.341
Co 0.659 0.000 0.659
Ni 0.328 0.328 0.656
Ni 0.328 0.672 0.000
Ni 0.672 0.328 0.000
Ni 0.672 0.672 0.344
Pt 0.000 0.000 0.000
CELL_PARAMETERS angstrom
-3.804 3.804 1.785
3.804 -3.804 1.785
3.804 3.804 -1.785
```

---

# 3
Material: Co4Ni9Pt11
Method: DFT, PBE
State: optimized geometry Values from VASP.

Computed properties:
- magnetic moment (Bohr magnetons per cell) = 17.5
- DOS(E_F) (states/eV per cell) = 31.64
- calculated formation energy (eV/atom) = -0.037

The structure in Quantum ESPRESSO input format:
```
&SYSTEM
  ibrav = 0, nat = 24, ntyp = 3
/
ATOMIC_SPECIES
Co 58.93 Co.upf
Ni 58.69 Ni.upf
Pt 195.08 Pt.upf
ATOMIC_POSITIONS crystal
Co 0.083 0.262 0.000
Co 0.262 0.083 0.000
Co 0.738 0.917 0.000
Co 0.917 0.738 0.000
Ni 0.000 0.000 0.000
Ni 0.111 0.678 0.000
Ni 0.299 0.484 0.000
Ni 0.322 0.889 0.000
Ni 0.484 0.299 0.000
Ni 0.516 0.701 0.000
Ni 0.678 0.111 0.000
Ni 0.701 0.516 0.000
Ni 0.889 0.322 0.000
Pt 0.098 0.463 0.500
Pt 0.117 0.883 0.500
Pt 0.277 0.277 0.500
Pt 0.312 0.688 0.500
Pt 0.463 0.098 0.500
Pt 0.500 0.500 0.500
Pt 0.537 0.902 0.500
Pt 0.688 0.312 0.500
Pt 0.723 0.723 0.500
Pt 0.883 0.117 0.500
Pt 0.902 0.537 0.500
CELL_PARAMETERS angstrom
6.210 -9.668 0.000
6.210 9.668 0.000
0.000 0.000 2.703
```

---

# 4
Material: CoNiPt2
Method: DFT, PBE
State: optimized geometry Values from VASP.

Computed properties:
- magnetic moment (Bohr magnetons per cell) = 3.2
- DOS(E_F) (states/eV per cell) = 4.37
- calculated formation energy (eV/atom) = -0.062

The structure in Quantum ESPRESSO input format:
```
&SYSTEM
  ibrav = 0, nat = 4, ntyp = 3
/
ATOMIC_SPECIES
Co 58.93 Co.upf
Ni 58.69 Ni.upf
Pt 195.08 Pt.upf
ATOMIC_POSITIONS crystal
Co 0.000 0.000 0.000
Ni 0.500 0.500 0.500
Pt 0.251 0.251 0.750
Pt 0.749 0.749 0.250
CELL_PARAMETERS angstrom
4.358 -1.359 0.000
4.358 1.359 0.000
-0.841 0.000 4.612
```